#A
# ScGaB3

A geometry-optimized ScGaB3 structure (PBE, Alexandria).

- M_tot: 0.0 μB/f.u.

Cell: 4.4800 4.4800 4.4800 Å, 90.00 90.00 90.00°
With the nearest neighbours (Å) after each atom.
Positions (direct):
Sc (0.0000, 0.0000, 0.0000)  6 B 2.24
B (0.0000, 0.5000, 0.0000)  2 Sc 2.24
B (0.0000, 0.0000, 0.5000)  2 Sc 2.24
B (0.5000, 0.0000, 0.0000)  2 Sc 2.24
Ga (0.5000, 0.5000, 0.5000)  12 B 3.17

---

#B
# ScGaB3

A geometry-optimized ScGaB3 structure (PBE, Alexandria).

- M_tot: 0.0 μB/f.u.

Cell: 4.0691 4.0691 4.0691 Å, 90.00 90.00 90.00°
With the nearest neighbours (Å) after each atom.
Positions (direct):
Sc (0.5000, 0.5000, 0.5000)  12 B 2.88
B (0.0000, 0.5000, 0.0000)  2 Ga 2.03
B (0.0000, 0.0000, 0.5000)  2 Ga 2.03
B (0.5000, 0.0000, 0.0000)  2 Ga 2.03
Ga (0.0000, 0.0000, 0.0000)  6 B 2.03

---

Most stable structure: #B

---

#A
# GaB2Se

A geometry-optimized GaB2Se structure (PBE, Alexandria).

- M_tot: 0.0 μB/f.u.

Cell: 4.1738 4.1738 4.1738 Å, 60.00 60.00 60.00°
With the nearest neighbours (Å) after each atom.
Positions (direct):
B (0.2500, 0.2500, 0.2500)  4 Se 2.56, 4 Ga 2.56
B (0.7500, 0.7500, 0.7500)  4 Ga 2.56, 4 Se 2.56
Ga (0.0000, 0.0000, 0.0000)  8 B 2.56
Se (0.5000, 0.5000, 0.5000)  8 B 2.56

---

#B
# GaB2Se

A geometry-optimized GaB2Se structure (PBE, Alexandria).

- M_tot: 0.0 μB/f.u.

Cell: 4.9199 4.9199 5.9280 Å, 65.48 65.48 90.00°
With the nearest neighbours (Å) after each atom.
Positions (direct):
B (0.6326, 0.1250, 0.2500)  2 Se 2.09, 2 Ga 2.14
B (0.1174, 0.6250, 0.2500)  2 Se 2.09, 2 Ga 2.14
B (0.3750, 0.3674, 0.7500)  2 Se 2.09, 2 Ga 2.14
B (0.8750, 0.8826, 0.7500)  2 Se 2.09, 2 Ga 2.14
Ga (0.5000, 0.5000, 0.0000)  4 B 2.14
Ga (0.2500, 0.7500, 0.5000)  4 B 2.14
Se (0.0000, 0.0000, 0.0000)  4 B 2.09
Se (0.7500, 0.2500, 0.5000)  4 B 2.09

---

Most stable structure: #B

---

#A
# Ga2BSe

A geometry-optimized Ga2BSe structure (PBE, Alexandria).

- M_tot: 0.0 μB/f.u.

Cell: 5.3919 5.3919 6.5020 Å, 65.50 65.50 90.00°
With the nearest neighbours (Å) after each atom.
Positions (direct):
B (0.5000, 0.5000, 0.0000)  4 Ga 2.10
B (0.2500, 0.7500, 0.5000)  4 Ga 2.10
Ga (0.5486, 0.1250, 0.2500)  2 B 2.10
Ga (0.2014, 0.6250, 0.2500)  2 B 2.10
Ga (0.3750, 0.4514, 0.7500)  2 B 2.10
Ga (0.8750, 0.7986, 0.7500)  2 B 2.10
Se (0.0000, 0.0000, 0.0000)  4 Ga 2.58
Se (0.7500, 0.2500, 0.5000)  4 Ga 2.58

---

#B
# Ga2BSe

A geometry-optimized Ga2BSe structure (PBE, Alexandria).

- M_tot: 0.0 μB/f.u.

Cell: 4.5494 4.5494 4.5494 Å, 60.00 60.00 60.00°
With the nearest neighbours (Å) after each atom.
Positions (direct):
B (0.0000, 0.0000, 0.0000)  8 Ga 2.79
Ga (0.2500, 0.2500, 0.2500)  4 Se 2.79, 4 B 2.79
Ga (0.7500, 0.7500, 0.7500)  4 Se 2.79, 4 B 2.79
Se (0.5000, 0.5000, 0.5000)  8 Ga 2.79

---

Most stable structure: #A

---

#A
# Ga3BSe

A geometry-optimized Ga3BSe structure (PBE, Alexandria).

- M_tot: 0.0 μB/f.u.

Cell: 5.0466 5.0466 5.0466 Å, 90.00 90.00 90.00°
With the nearest neighbours (Å) after each atom.
Positions (direct):
B (0.5000, 0.5000, 0.5000)  12 Ga 3.57
Ga (0.0000, 0.5000, 0.0000)  2 Se 2.52
Ga (0.0000, 0.0000, 0.5000)  2 Se 2.52
Ga (0.5000, 0.0000, 0.0000)  2 Se 2.52
Se (0.0000, 0.0000, 0.0000)  6 Ga 2.52

---

#B
# Ga3BSe

A geometry-optimized Ga3BSe structure (PBE, Alexandria).

- M_tot: 0.0 μB/f.u.

Cell: 4.4516 4.4516 4.4516 Å, 90.00 90.00 90.00°
With the nearest neighbours (Å) after each atom.
Positions (direct):
B (0.0000, 0.0000, 0.0000)  6 Ga 2.23
Ga (0.0000, 0.5000, 0.0000)  2 B 2.23
Ga (0.0000, 0.0000, 0.5000)  2 B 2.23
Ga (0.5000, 0.0000, 0.0000)  2 B 2.23
Se (0.5000, 0.5000, 0.5000)  12 Ga 3.15

---

Most stable structure: #B

---

#A
# Ga2SiB

A geometry-optimized Ga2SiB structure (PBE, Alexandria).

- M_tot: 0.0 μB/f.u.

Cell: 4.3829 4.3829 4.3829 Å, 60.00 60.00 60.00°
With the nearest neighbours (Å) after each atom.
Positions (direct):
Si (0.5000, 0.5000, 0.5000)  8 Ga 2.68
B (0.0000, 0.0000, 0.0000)  8 Ga 2.68
Ga (0.2500, 0.2500, 0.2500)  4 B 2.68, 4 Si 2.68
Ga (0.7500, 0.7500, 0.7500)  4 B 2.68, 4 Si 2.68

---

#B
# Ga2SiB

A geometry-optimized Ga2SiB structure (PBE, Alexandria).

- M_tot: 0.0 μB/f.u.

Cell: 4.5524 4.5524 7.2363 Å, 71.67 71.67 90.00°
With the nearest neighbours (Å) after each atom.
Positions (direct):
Si (0.0000, 0.0000, 0.0000)  4 Ga 2.45
Si (0.7500, 0.2500, 0.5000)  4 Ga 2.45
B (0.5000, 0.5000, 0.0000)  4 Ga 2.15
B (0.2500, 0.7500, 0.5000)  4 Ga 2.15
Ga (0.5577, 0.1250, 0.2500)  2 B 2.15
Ga (0.1923, 0.6250, 0.2500)  2 B 2.15
Ga (0.3750, 0.4423, 0.7500)  2 B 2.15
Ga (0.8750, 0.8077, 0.7500)  2 B 2.15

---

Most stable structure: #B

---

#A
# GaSiB2

A geometry-optimized GaSiB2 structure (PBE, Alexandria).

- M_tot: 0.0 μB/f.u.

Cell: 5.0008 5.0008 5.7077 Å, 64.02 64.02 90.00°
With the nearest neighbours (Å) after each atom.
Positions (direct):
Si (0.5000, 0.5000, 0.0000)  4 B 2.01
Si (0.2500, 0.7500, 0.5000)  4 B 2.01
B (0.5978, 0.1250, 0.2500)  2 Si 2.01, 2 Ga 2.18
B (0.1522, 0.6250, 0.2500)  2 Si 2.01, 2 Ga 2.18
B (0.3750, 0.4022, 0.7500)  2 Si 2.01, 2 Ga 2.18
B (0.8750, 0.8478, 0.7500)  2 Si 2.01, 2 Ga 2.18
Ga (0.0000, 0.0000, 0.0000)  4 B 2.18
Ga (0.7500, 0.2500, 0.5000)  4 B 2.18

---

#B
# GaSiB2

A geometry-optimized GaSiB2 structure (PBE, Alexandria).

- M_tot: 0.0 μB/f.u.

Cell: 3.9742 3.9742 3.9742 Å, 60.00 60.00 60.00°
With the nearest neighbours (Å) after each atom.
Positions (direct):
Si (0.0000, 0.0000, 0.0000)  8 B 2.43
B (0.2500, 0.2500, 0.2500)  4 Ga 2.43, 4 Si 2.43
B (0.7500, 0.7500, 0.7500)  4 Si 2.43, 4 Ga 2.43
Ga (0.5000, 0.5000, 0.5000)  8 B 2.43

---

Most stable structure: #A

---

#A
# GaSi3B

A geometry-optimized GaSi3B structure (PBE, Alexandria).

- M_tot: 0.0 μB/f.u.

Cell: 4.7137 4.7137 4.7137 Å, 90.00 90.00 90.00°
With the nearest neighbours (Å) after each atom.
Positions (direct):
Si (0.0000, 0.5000, 0.0000)  2 Ga 2.36
Si (0.0000, 0.0000, 0.5000)  2 Ga 2.36
Si (0.5000, 0.0000, 0.0000)  2 Ga 2.36
B (0.5000, 0.5000, 0.5000)  12 Si 3.33
Ga (0.0000, 0.0000, 0.0000)  6 Si 2.36

---

#B
# GaSi3B

A geometry-optimized GaSi3B structure (PBE, Alexandria).

- M_tot: 0.0 μB/f.u.

Cell: 4.1837 4.1837 4.1837 Å, 90.00 90.00 90.00°
With the nearest neighbours (Å) after each atom.
Positions (direct):
Si (0.0000, 0.5000, 0.0000)  2 B 2.09
Si (0.0000, 0.0000, 0.5000)  2 B 2.09
Si (0.5000, 0.0000, 0.0000)  2 B 2.09
B (0.0000, 0.0000, 0.0000)  6 Si 2.09
Ga (0.5000, 0.5000, 0.5000)  12 Si 2.96

---

Most stable structure: #B